Entry 1:
A plane-wave DFT calculation with PBE-GGA was carried out for crystalline NaGeP at its relaxed geometry.

Results
- D(E_F): 0.023 states/eV/f.u.
- DFT total energy: -4.05 eV/atom
- Symmetry: R3m, No. 160
- Formation energy: -269 meV per atom

a = 3.6533 Å, b = 3.6533 Å, c = 17.4040 Å
α = 90.00°, β = 90.00°, γ = 120.00°
Last column: nearest neighbours and their distance in Å.
Element x y z (fractional)
Na (0.0000, 0.0000, 0.0119)  3 P 3.02, 3 Ge 3.23
Na (0.3333, 0.6667, 0.6786)  3 P 3.02, 3 Ge 3.23
Na (0.6667, 0.3333, 0.3452)  3 P 3.02, 3 Ge 3.23
Ge (0.0000, 0.0000, 0.4861)  3 P 2.42
Ge (0.3333, 0.6667, 0.1527)  3 P 2.42
Ge (0.6667, 0.3333, 0.8194)  3 P 2.42
P (0.0000, 0.0000, 0.2209)  3 Ge 2.42
P (0.3333, 0.6667, 0.8876)  3 Ge 2.42
P (0.6667, 0.3333, 0.5542)  3 Ge 2.42

=====

Entry 2:
A plane-wave DFT calculation with PBE-GGA was carried out for crystalline TeMo2Br at its relaxed geometry.

Results
- D(E_F): 1.638 states/eV/f.u.
- DFT total energy: -6.45 eV/atom
- Energy above the most stable polymorph in this dataset: 0 meV/atom
- Symmetry: Pm, No. 6
- Formation energy from raw total energies: 0.17 eV/atom

a = 3.3738 Å, b = 4.2349 Å, c = 7.4695 Å
α = 81.93°, β = 90.00°, γ = 90.00°
Last column: nearest neighbours and their distance in Å.
Element x y z (fractional)
Mo (0.0000, 0.9231, 0.1230)  2 Mo 2.53, 2 Br 2.77, 1 Te 2.78
Mo (0.5000, 0.3667, 0.1278)  2 Mo 2.53, 1 Br 2.58, 2 Te 2.68
Te (0.0000, 0.4132, 0.4023)  3 Mo 2.68-2.78
Br (0.5000, 0.7970, 0.8469)  3 Mo 2.58-2.77

=====

Entry 3:
A plane-wave DFT calculation with PBE-GGA was carried out for crystalline LaBeAu2 at its relaxed geometry.

Results
- D(E_F): 1.871 states/eV/f.u.
- DFT total energy: -3.89 eV/atom
- Symmetry: P4/mmm, No. 123
- Formation energy: -91 meV per atom

a = 4.6863 Å, b = 4.6863 Å, c = 3.9424 Å
α = 89.95°, β = 89.95°, γ = 90.01°
Last column: nearest neighbours and their distance in Å.
Element x y z (fractional)
Be (0.5000, 0.0000, 0.5000)  8 Au 3.06, 4 La 3.31
Au (0.0000, 0.0000, 0.0000)  4 Be 3.06, 4 La 3.06, 4 Au 3.31
Au (0.5000, 0.5000, 0.0000)  4 La 3.06, 4 Be 3.06, 4 Au 3.31
La (0.0000, 0.5000, 0.5000)  8 Au 3.06, 4 Be 3.31

=====

Entry 4:
A plane-wave DFT calculation with PBE-GGA was carried out for crystalline Nd2SmMgO at its relaxed geometry.

Results
- D(E_F): 5.636 states/eV/f.u.
- DFT total energy: -5.34 eV/atom
- Symmetry: P4/mmm, No. 123
- Formation energy from raw total energies: -1.18 eV/atom

a = 4.9203 Å, b = 5.0402 Å, c = 5.0402 Å
α = 90.00°, β = 90.00°, γ = 90.00°
Last column: nearest neighbours and their distance in Å.
Element x y z (fractional)
Nd (0.0000, 0.0000, 0.5000)  2 O 2.52
Nd (0.0000, 0.5000, 0.0000)  2 O 2.52
Sm (0.5000, 0.0000, 0.0000)  2 O 2.46
Mg (0.5000, 0.5000, 0.5000)  8 Nd 3.52, 4 Sm 3.56
O (0.0000, 0.0000, 0.0000)  2 Sm 2.46, 4 Nd 2.52

=====

Entry 5:
A plane-wave DFT calculation with PBE-GGA was carried out for crystalline K3Sb at its relaxed geometry.

Results
- D(E_F): 2.434 states/eV/f.u.
- DFT total energy: -2.02 eV/atom
- Energy above the most stable polymorph in this dataset: 247 meV/atom
- Symmetry: P2/m, No. 10
- Formation energy from raw total energies: -0.17 eV/atom

a = 5.4187 Å, b = 4.0802 Å, c = 8.9414 Å
α = 63.63°, β = 90.00°, γ = 90.00°
Last column: nearest neighbours and their distance in Å.
Element x y z (fractional)
K (0.0000, 0.9476, 0.0539)  1 K 3.14
K (0.5000, 0.7500, 0.7500)  2 Sb 4.01, 10 K 4.08-4.19
K (0.0000, 0.5524, 0.4461)  1 K 3.14
Sb (0.5000, 0.2500, 0.2500)  10 K 3.72-4.01, 2 Sb 4.08

=====

Entry 6:
A plane-wave DFT calculation with PBE-GGA was carried out for crystalline Cs3Ni2Sb4 at its relaxed geometry.

Results
- D(E_F): 2.217 states/eV/f.u.
- DFT total energy: -3.71 eV/atom
- Symmetry: C2/m, No. 12
- Formation energy from raw total energies: -0.30 eV/atom

a = 4.2004 Å, b = 7.7597 Å, c = 10.5938 Å
α = 101.61°, β = 90.00°, γ = 105.70°
Last column: nearest neighbours and their distance in Å.
Element x y z (fractional)
Cs (0.3867, 0.7735, 0.6029)  5 Sb 3.86-4.02, 2 Cs 4.20
Cs (0.0000, 0.0000, 0.0000)  6 Sb 3.77-3.92, 4 Ni 4.14, 2 Cs 4.20
Cs (0.6133, 0.2265, 0.3971)  5 Sb 3.86-4.02, 2 Cs 4.20
Ni (0.3121, 0.6243, 0.1605)  5 Sb 2.58-2.62
Ni (0.6879, 0.3757, 0.8395)  5 Sb 2.58-2.62
Sb (0.7133, 0.4266, 0.0885)  3 Ni 2.58-2.59
Sb (0.1205, 0.2410, 0.7050)  2 Ni 2.62
Sb (0.8795, 0.7590, 0.2950)  2 Ni 2.62
Sb (0.2867, 0.5734, 0.9115)  3 Ni 2.58-2.59

=====

Entry 7:
A plane-wave DFT calculation with PBE-GGA was carried out for crystalline Nd2HoAu at its relaxed geometry.

Results
- D(E_F): 4.841 states/eV/f.u.
- DFT total energy: -4.75 eV/atom
- Energy above the most stable polymorph in this dataset: 0 meV/atom
- Symmetry: Cmcm, No. 63
- Formation energy: -401 meV per atom

a = 3.7876 Å, b = 6.4649 Å, c = 10.1096 Å
α = 90.00°, β = 90.00°, γ = 107.02°
Last column: nearest neighbours and their distance in Å.
Element x y z (fractional)
Nd (0.3678, 0.7353, 0.5522)  3 Au 3.08-3.41, 1 Nd 3.44
Nd (0.6322, 0.2647, 0.4478)  3 Au 3.08-3.41, 1 Nd 3.44
Nd (0.3678, 0.7353, 0.9478)  3 Au 3.08-3.41, 1 Nd 3.44
Nd (0.6322, 0.2647, 0.0522)  3 Au 3.08-3.41, 1 Nd 3.44
Ho (0.9343, 0.8689, 0.2500)  2 Au 3.02
Ho (0.0657, 0.1311, 0.7500)  2 Au 3.02
Au (0.7554, 0.5111, 0.7500)  2 Ho 3.02, 4 Nd 3.08
Au (0.2446, 0.4889, 0.2500)  2 Ho 3.02, 4 Nd 3.08

=====

Entry 8:
A plane-wave DFT calculation with PBE-GGA was carried out for crystalline La3Zn5H12 at its relaxed geometry.

Results
- D(E_F): 3.467 states/eV/f.u.
- DFT total energy: -3.22 eV/atom
- Symmetry: Ia-3d, No. 230

a = 11.0671 Å, b = 11.0671 Å, c = 11.0671 Å
α = 109.47°, β = 109.47°, γ = 109.47°
Last column: nearest neighbours and their distance in Å.
Element x y z (fractional)
La (0.7500, 0.3750, 0.1250)  8 H 2.44-2.45
La (0.8750, 0.7500, 0.1250)  8 H 2.44-2.45
La (0.3750, 0.7500, 0.6250)  8 H 2.44-2.45
La (0.2500, 0.1250, 0.3750)  8 H 2.44-2.45
La (0.8750, 0.1250, 0.2500)  8 H 2.44-2.45
La (0.3750, 0.6250, 0.2500)  8 H 2.44-2.45
La (0.6250, 0.3750, 0.7500)  8 H 2.44-2.45
La (0.1250, 0.8750, 0.7500)  8 H 2.44-2.45
La (0.7500, 0.8750, 0.6250)  8 H 2.44-2.45
La (0.6250, 0.2500, 0.3750)  8 H 2.44-2.45
La (0.1250, 0.2500, 0.8750)  8 H 2.44-2.45
La (0.2500, 0.6250, 0.8750)  8 H 2.44-2.45
Zn (0.1250, 0.3750, 0.2500)  4 H 1.68
Zn (0.0000, 0.5000, 0.0000)  6 H 2.53
Zn (0.0000, 0.0000, 0.0000)  6 H 2.53
Zn (0.3750, 0.2500, 0.1250)  4 H 1.68
Zn (0.5000, 0.0000, 0.5000)  6 H 2.53
Zn (0.5000, 0.5000, 0.0000)  6 H 2.53
Zn (0.1250, 0.7500, 0.3750)  4 H 1.68
Zn (0.7500, 0.1250, 0.8750)  4 H 1.68
Zn (0.7500, 0.6250, 0.3750)  4 H 1.68
Zn (0.3750, 0.1250, 0.7500)  4 H 1.68
Zn (0.6250, 0.8750, 0.2500)  4 H 1.68
Zn (0.5000, 0.5000, 0.5000)  6 H 2.53
Zn (0.5000, 0.0000, 0.0000)  6 H 2.53
Zn (0.0000, 0.0000, 0.5000)  6 H 2.53
Zn (0.2500, 0.3750, 0.6250)  4 H 1.68
Zn (0.2500, 0.8750, 0.1250)  4 H 1.68
Zn (0.0000, 0.5000, 0.5000)  6 H 2.53
Zn (0.8750, 0.2500, 0.6250)  4 H 1.68
Zn (0.6250, 0.7500, 0.8750)  4 H 1.68
Zn (0.8750, 0.6250, 0.7500)  4 H 1.68
H (0.7522, 0.1430, 0.0328)  1 Zn 1.68
H (0.2806, 0.5328, 0.3898)  1 Zn 1.68
H (0.9672, 0.3570, 0.2478)  1 Zn 1.68
H (0.5328, 0.2522, 0.1430)  1 Zn 1.68
H (0.6092, 0.7522, 0.7194)  1 Zn 1.68
H (0.9672, 0.6102, 0.2194)  1 Zn 1.68
H (0.2806, 0.7478, 0.3908)  1 Zn 1.68
H (0.1102, 0.8908, 0.1430)  1 Zn 1.68
H (0.6102, 0.9672, 0.7194)  1 Zn 1.68
H (0.7522, 0.6092, 0.2194)  1 Zn 1.68
H (0.7478, 0.4672, 0.3570)  1 Zn 1.68
H (0.7806, 0.8898, 0.0328)  1 Zn 1.68
H (0.1430, 0.7522, 0.5328)  1 Zn 1.68
H (0.3570, 0.3898, 0.1092)  1 Zn 1.68
H (0.1092, 0.8898, 0.3570)  1 Zn 1.68
H (0.3908, 0.1430, 0.6102)  1 Zn 1.68
H (0.1092, 0.2194, 0.2522)  1 Zn 1.68
H (0.4672, 0.7194, 0.1102)  1 Zn 1.68
H (0.7806, 0.8908, 0.2478)  1 Zn 1.68
H (0.1430, 0.3908, 0.1102)  1 Zn 1.68
H (0.3570, 0.9672, 0.7478)  1 Zn 1.68
H (0.6102, 0.6430, 0.3908)  1 Zn 1.68
H (0.8898, 0.7806, 0.5328)  1 Zn 1.68
H (0.7478, 0.2806, 0.8908)  1 Zn 1.68
H (0.3898, 0.3570, 0.6092)  1 Zn 1.68
H (0.1102, 0.2194, 0.4672)  1 Zn 1.68
H (0.2522, 0.7194, 0.1092)  1 Zn 1.68
H (0.2194, 0.1092, 0.7522)  1 Zn 1.68
H (0.6430, 0.0328, 0.2522)  1 Zn 1.68
H (0.8570, 0.6092, 0.8898)  1 Zn 1.68
H (0.5328, 0.2806, 0.8898)  1 Zn 1.68
H (0.6092, 0.8570, 0.3898)  1 Zn 1.68
H (0.8908, 0.7806, 0.7478)  1 Zn 1.68
H (0.8908, 0.1102, 0.6430)  1 Zn 1.68
H (0.8570, 0.2478, 0.4672)  1 Zn 1.68
H (0.2194, 0.1102, 0.9672)  1 Zn 1.68
H (0.6430, 0.6102, 0.8908)  1 Zn 1.68
H (0.3898, 0.0328, 0.2806)  1 Zn 1.68
H (0.2478, 0.3908, 0.7806)  1 Zn 1.68
H (0.2522, 0.5328, 0.6430)  1 Zn 1.68
H (0.8898, 0.1092, 0.8570)  1 Zn 1.68
H (0.7194, 0.2522, 0.6092)  1 Zn 1.68
H (0.4672, 0.7478, 0.8570)  1 Zn 1.68
H (0.0328, 0.3898, 0.7806)  1 Zn 1.68
H (0.3908, 0.2478, 0.2806)  1 Zn 1.68
H (0.0328, 0.6430, 0.7522)  1 Zn 1.68
H (0.7194, 0.4672, 0.6102)  1 Zn 1.68
H (0.2478, 0.8570, 0.9672)  1 Zn 1.68

=====

Entry 9:
A plane-wave DFT calculation with PBE-GGA was carried out for crystalline Lu2SiIr at its relaxed geometry.

Results
- D(E_F): 1.250 states/eV/f.u.
- DFT total energy: -6.57 eV/atom
- Symmetry: P4/mmm, No. 123
- Formation energy from raw total energies: -0.74 eV/atom

a = 3.6840 Å, b = 4.5932 Å, c = 4.5932 Å
α = 90.00°, β = 90.00°, γ = 90.00°
Last column: nearest neighbours and their distance in Å.
Element x y z (fractional)
Si (0.5000, 0.5000, 0.5000)  8 Lu 2.94, 4 Ir 3.25
Ir (0.5000, 0.0000, 0.0000)  8 Lu 2.94, 4 Si 3.25
Lu (0.0000, 0.0000, 0.5000)  4 Ir 2.94, 4 Si 2.94, 4 Lu 3.25
Lu (0.0000, 0.5000, 0.0000)  4 Ir 2.94, 4 Si 2.94, 4 Lu 3.25

=====

Entry 10:
A plane-wave DFT calculation with PBE-GGA was carried out for crystalline CeAl2Fe2Si at its relaxed geometry.

Results
- D(E_F): 6.637 states/eV/f.u.
- DFT total energy: -6.23 eV/atom
- Symmetry: P4/mmm, No. 123
- Formation energy from raw total energies: -0.27 eV/atom

a = 4.2883 Å, b = 4.2883 Å, c = 5.6285 Å
α = 90.00°, β = 90.00°, γ = 90.00°
Last column: nearest neighbours and their distance in Å.
Element x y z (fractional)
Ce (0.0000, 0.0000, 0.5000)  2 Si 2.81
Al (0.5000, 0.5000, 0.7486)  4 Fe 2.57, 2 Al 2.80-2.83
Al (0.5000, 0.5000, 0.2514)  4 Fe 2.57, 2 Al 2.80-2.83
Fe (0.5000, 0.0000, 0.0000)  2 Si 2.14
Fe (0.0000, 0.5000, 0.0000)  2 Si 2.14
Si (0.0000, 0.0000, 0.0000)  4 Fe 2.14

=====

- The highest DFT total energy belongs to which entry?
  K3Sb

=====

- Which of these has the highest D(E_F)?
  CeAl2Fe2Si